DFT (meta-GGA SCAN) results for a crystal of Sr2ZnCu relaxed with PBEsol.

Output
Density of states at the Fermi level = 5.00 states/eV per cell
ΔE_f = -0.58 eV per formula unit
Calculated volume = 228 Å³/cell

Cell: 4.328 4.522 11.644 Å, 90.00 90.00 90.00°
Space group Amm2 (No. 38)
Inequivalent atoms, fractional coordinates:
Sr 0.000 0.000 0.000 x2
Sr 0.500 0.000 0.284 x2
Zn 0.500 0.000 0.587 x2
Cu 0.000 0.000 0.696 x2

***

DFT (meta-GGA SCAN) results for a crystal of MnNbTl2 relaxed with PBEsol.

Output
Density of states at the Fermi level = 10.13 states/eV per cell
ΔE_f = 1.50 eV per formula unit
Calculated volume = 307 Å³/cell

Cell: 6.743 6.743 6.743 Å, 90.00 90.00 90.00°
Space group Fm-3m (No. 225)
Inequivalent atoms, fractional coordinates:
Mn 0.000 0.000 0.000 x4
Nb 0.000 0.000 0.500 x4
Tl 0.250 0.250 0.250 x8